# MnOF GGA+U optimized geometry
# Total moment = 4.0 μB/f.u.
# DFT total energy = -0.493 Ry/atom
data_MnOF
_symmetry_space_group_name_H-M 'P -1'
_symmetry_Int_Tables_number 2
_cell_length_a 4.624
_cell_length_b 5.706
_cell_length_c 7.822
_cell_angle_alpha 85.23
_cell_angle_beta 88.15
_cell_angle_gamma 87.32
loop_
_symmetry_equiv_pos_as_xyz
'x,y,z'
'-x,-y,-z'
loop_
_atom_site_label
_atom_site_fract_x
_atom_site_fract_y
_atom_site_fract_z
_atom_site_occupancy
Mn1 0.000 0.000 0.000 1
Mn2 0.016 0.331 0.650 1
Mn3 0.479 0.160 0.315 1
Mn4 0.500 0.500 0.000 1
O1 0.203 0.044 0.770 1
O2 0.213 0.384 0.432 1
O3 0.300 0.220 0.095 1
F1 0.224 0.711 0.136 1
F2 0.270 0.547 0.792 1
F3 0.301 0.870 0.462 1